First-principles (meta-GGA SCAN) data for a PBEsol-optimized structure of ZrAl2Cu, as listed in the Alexandria database.

E_tot ... -253.43 eV for the cell shown
V ... 16.08 Å³ per atom
Formation enthalpy at 0 K ... -47.17 kJ/mol of atoms

a b c (Å): 7.216 6.741 5.290
angles (deg): 90.00 90.00 90.00
Space group Pnma (No. 62)
Unique sites:
1 Zr 0.024 0.250 0.116
2 Al 0.188 0.053 0.610
3 Cu 0.101 0.750 0.382

First-principles (meta-GGA SCAN) data for a PBEsol-optimized structure of AlP2, as listed in the Alexandria database.

E_tot ... -88.04 eV for the cell shown
V ... 18.21 Å³ per atom
Formation enthalpy at 0 K ... -25.63 kJ/mol of atoms

a b c (Å): 3.6781 3.6781 13.9899
angles (deg): 90.00 90.00 120.00
Space group R-3m (No. 166, hexagonal axes)
Unique sites:
1 Al 0.0000 0.0000 0.0000
2 P 0.0000 0.0000 0.4252

First-principles (meta-GGA SCAN) data for a PBEsol-optimized structure of FeCoS4, as listed in the Alexandria database.

E_tot ... -153.73 eV for the cell shown
E_form (uncorrected) ... -487 meV/atom
V ... 12.75 Å³ per atom

a b c (Å): 5.342 5.351 5.351
angles (deg): 90.00 90.05 90.00
Space group P2_1/c (No. 14)
Unique sites:
1 Fe 0.000 0.000 0.000
2 Co 0.500 0.000 0.500
3 S 0.116 0.122 0.378
4 S 0.377 0.619 0.382

First-principles (meta-GGA SCAN) data for a PBEsol-optimized structure of RbInSb2I, as listed in the Alexandria database.

E_tot ... -165.69 eV for the cell shown
E_form (uncorrected) ... -59 meV/atom
V ... 40.38 Å³ per atom
Energy relative to the lowest polymorph listed for this composition ... 0.0 kJ per mole of atoms

a b c (Å): 5.557 5.557 6.538
angles (deg): 90.00 90.00 90.00
Space group P4/mmm (No. 123)
Unique sites:
1 Rb 0.000 0.000 0.000
2 In 0.500 0.500 0.500
3 Sb 0.000 0.500 0.500
4 I 0.500 0.500 0.000

First-principles (meta-GGA SCAN) data for a PBEsol-optimized structure of Ti3HIr, as listed in the Alexandria database.

E_tot ... -125.50 eV for the cell shown
V ... 12.57 Å³ per atom
Energy relative to the lowest polymorph listed for this composition ... 0.0 kJ per mole of atoms

a b c (Å): 3.976 3.976 3.976
angles (deg): 90.00 90.00 90.00
Space group Pm-3m (No. 221)
Unique sites:
1 Ti 0.000 0.000 0.500
2 H 0.000 0.000 0.000
3 Ir 0.500 0.500 0.500

First-principles (meta-GGA SCAN) data for a PBEsol-optimized structure of Co2NiW, as listed in the Alexandria database.

E_tot ... -239.53 eV for the cell shown
V ... 11.60 Å³ per atom
Energy relative to the lowest polymorph listed for this composition ... 10.7 kJ per mole of atoms
Formation enthalpy at 0 K ... 16.98 kJ/mol of atoms

a b c (Å): 8.282 2.581 4.406
angles (deg): 90.00 99.98 90.00
Space group C2/m (No. 12)
Unique sites:
1 Co 0.246 0.000 0.236
2 Ni 0.000 0.500 0.000
3 W 0.000 0.000 0.500

First-principles (meta-GGA SCAN) data for a PBEsol-optimized structure of FePOs2, as listed in the Alexandria database.

E_tot ... -170.62 eV for the cell shown
V ... 13.03 Å³ per atom
Formation enthalpy at 0 K ... 40.26 kJ/mol of atoms

a b c (Å): 2.785 4.194 4.463
angles (deg): 90.00 90.00 90.00
Space group Pmmm (No. 47)
Unique sites:
1 Fe 0.000 0.000 0.000
2 P 0.500 0.000 0.500
3 Os 0.000 0.500 0.500
4 Os 0.500 0.500 0.000

First-principles (meta-GGA SCAN) data for a PBEsol-optimized structure of RbCd2Cu2, as listed in the Alexandria database.

E_tot ... -221.65 eV for the cell shown
V ... 23.51 Å³ per atom
Formation enthalpy at 0 K ... 22.01 kJ/mol of atoms

a b c (Å): 4.771 4.771 10.330
angles (deg): 90.00 90.00 90.00
Space group I4/mmm (No. 139)
Unique sites:
1 Rb 0.000 0.000 0.000
2 Cd 0.000 0.000 0.356
3 Cu 0.000 0.500 0.250